Below is crystalline TlZn2Ag at its relaxed geometry, with properties calculated at the PBE level.

Computed properties:
ρ: 9.2 g cm⁻³
Symmetry: P4/mmm (123)
E: -1.82 eV per atom

Lattice parameters (Å, degrees): 3.1683 3.1683 7.9985 90.00 90.00 90.00
With the nearest neighbours (Å) after each atom.
Positions (direct):
Ag  0.5000  0.5000  0.2500  8 Zn 2.79
Tl  0.5000  0.5000  0.7500  4 Tl 3.17, 8 Zn 3.24
Zn  0.0000  0.0000  0.0427  4 Ag 2.79
Zn  0.0000  0.0000  0.4573  4 Ag 2.79

Below is crystalline Tl2ZnAg at its relaxed geometry, with properties calculated at the PBE level.

Computed properties:
ρ: 10.3 g cm⁻³
Symmetry: R-3m (166)
E: -2.05 eV per atom

Lattice parameters (Å, degrees): 9.3136 9.3136 9.3136 21.32 21.32 21.32
With the nearest neighbours (Å) after each atom.
Positions (direct):
Ag  0.7500  0.7500  0.7500  6 Tl 3.04
Tl  0.9989  0.9989  0.9989  3 Zn 3.00, 3 Ag 3.04
Tl  0.5011  0.5011  0.5011  3 Zn 3.00, 3 Ag 3.04
Zn  0.2500  0.2500  0.2500  6 Tl 3.00

Below is crystalline TlZn2Ag at its relaxed geometry, with properties calculated at the PBE level.

Computed properties:
ρ: 9.4 g cm⁻³
Symmetry: Cmmm (65)
E: -1.78 eV per atom

Lattice parameters (Å, degrees): 4.7930 4.7930 3.5650 90.00 90.00 106.70
With the nearest neighbours (Å) after each atom.
Positions (direct):
Ag  0.5000  0.0000  0.5000  2 Tl 2.86, 8 Zn 2.99
Tl  0.0000  0.5000  0.5000  2 Ag 2.86, 8 Zn 2.99
Zn  0.0000  0.0000  0.0000  2 Zn 2.86, 4 Tl 2.99, 4 Ag 2.99
Zn  0.5000  0.5000  0.0000  2 Zn 2.86, 4 Ag 2.99, 4 Tl 2.99

Below is crystalline Tl2ZnAg at its relaxed geometry, with properties calculated at the PBE level.

Computed properties:
ρ: 10.2 g cm⁻³
Symmetry: Fm-3m (225)
E: -2.05 eV per atom

Lattice parameters (Å, degrees): 5.1227 5.1227 5.1227 60.00 60.00 60.00
With the nearest neighbours (Å) after each atom.
Positions (direct):
Tl  0.2500  0.2500  0.2500  4 Ag 3.14, 4 Zn 3.14
Tl  0.7500  0.7500  0.7500  4 Ag 3.14, 4 Zn 3.14
Zn  0.0000  0.0000  0.0000  8 Tl 3.14
Ag  0.5000  0.5000  0.5000  8 Tl 3.14

Below is crystalline TlZn2Ag at its relaxed geometry, with properties calculated at the PBE level.

Computed properties:
ρ: 9.2 g cm⁻³
Symmetry: Pmmm (47)
E: -1.81 eV per atom

Lattice parameters (Å, degrees): 3.0548 3.8351 6.7904 90.00 90.00 90.00
With the nearest neighbours (Å) after each atom.
Positions (direct):
Ag  0.5000  0.5000  0.2500  8 Zn 2.82, 2 Ag 3.05
Tl  0.5000  0.5000  0.7500  2 Tl 3.05, 8 Zn 3.17, 2 Ag 3.40
Zn  0.0000  0.0000  0.0449  3 Zn 2.79-3.05, 4 Ag 2.82
Zn  0.0000  0.0000  0.4551  3 Zn 2.79-3.05, 4 Ag 2.82

Below is crystalline Tl2ZnAg at its relaxed geometry, with properties calculated at the PBE level.

Computed properties:
ρ: 10.1 g cm⁻³
Symmetry: Pm (6)
E: -2.10 eV per atom

Lattice parameters (Å, degrees): 4.5416 3.8208 5.8630 69.84 90.00 90.00
With the nearest neighbours (Å) after each atom.
Positions (direct):
Ag  0.5000  0.5571  0.7626  2 Zn 2.74, 1 Tl 3.05
Tl  0.0000  0.9694  0.9366  3 Zn 3.01-3.18, 4 Ag 3.11-3.13
Tl  0.5000  0.2805  0.3166  3 Ag 3.05-3.14, 4 Zn 3.10-3.11
Zn  0.0000  0.6931  0.4842  2 Ag 2.74, 1 Tl 3.01

Below is crystalline TlZnAg at its relaxed geometry, with properties calculated at the PBE level.

Computed properties:
ρ: 9.7 g cm⁻³
Symmetry: I4mm (107)
E: -2.03 eV per atom

Lattice parameters (Å, degrees): 6.1591 6.1590 3.3687 74.13 74.13 31.74
With the nearest neighbours (Å) after each atom.
Positions (direct):
Ag  0.9736  0.9736  0.0264  4 Zn 2.71
Tl  0.6664  0.6663  0.3336  5 Ag 3.24-3.49, 5 Zn 3.24-3.48, 4 Tl 3.37
Zn  0.3600  0.3601  0.6400  4 Ag 2.71

Below is crystalline TlZnAg3 at its relaxed geometry, with properties calculated at the PBE level.

Computed properties:
ρ: 8.1 g cm⁻³
Symmetry: Pm-3m (221)
E: -2.09 eV per atom

Lattice parameters (Å, degrees): 4.9552 4.9552 4.9552 90.00 90.00 90.00
With the nearest neighbours (Å) after each atom.
Positions (direct):
Tl  0.5000  0.5000  0.5000  12 Ag 3.50
Zn  0.0000  0.0000  0.0000  6 Ag 2.48
Ag  0.0000  0.5000  0.0000  2 Zn 2.48
Ag  0.0000  0.0000  0.5000  2 Zn 2.48
Ag  0.5000  0.0000  0.0000  2 Zn 2.48

Below is crystalline Tl2ZnAg at its relaxed geometry, with properties calculated at the PBE level.

Computed properties:
ρ: 10.2 g cm⁻³
Symmetry: Pmmm (47)
E: -2.05 eV per atom

Lattice parameters (Å, degrees): 3.4248 3.9744 6.9757 90.00 90.00 90.00
With the nearest neighbours (Å) after each atom.
Positions (direct):
Ag  0.5000  0.5000  0.7500  8 Tl 3.15, 2 Ag 3.42, 2 Zn 3.49
Tl  0.0000  0.0000  0.0006  4 Zn 3.15, 4 Ag 3.15, 4 Tl 3.42-3.50
Tl  0.0000  0.0000  0.4994  4 Zn 3.15, 4 Ag 3.15, 4 Tl 3.42-3.50
Zn  0.5000  0.5000  0.2500  8 Tl 3.15, 2 Zn 3.42, 2 Ag 3.49

Below is crystalline TlZn2Ag at its relaxed geometry, with properties calculated at the PBE level.

Computed properties:
ρ: 9.6 g cm⁻³
Symmetry: Pmmm (47)
E: -1.76 eV per atom

Lattice parameters (Å, degrees): 4.2939 4.2819 4.1900 90.00 90.00 90.00
With the nearest neighbours (Å) after each atom.
Positions (direct):
Ag  0.5000  0.0000  0.5000  8 Zn 3.00, 4 Tl 3.03
Tl  0.0000  0.5000  0.5000  8 Zn 3.00, 4 Ag 3.03
Zn  0.0000  0.0000  0.0000  4 Tl 3.00, 4 Ag 3.00, 4 Zn 3.03
Zn  0.5000  0.5000  0.0000  4 Ag 3.00, 4 Tl 3.00, 4 Zn 3.03

Below is crystalline TlZn2Ag at its relaxed geometry, with properties calculated at the PBE level.

Computed properties:
ρ: 9.3 g cm⁻³
Symmetry: R-3m (166)
E: -1.80 eV per atom

Lattice parameters (Å, degrees): 9.4374 9.4374 9.4374 19.18 19.18 19.18
With the nearest neighbours (Å) after each atom.
Positions (direct):
Ag  0.2500  0.2500  0.2500  6 Zn 2.77
Tl  0.7500  0.7500  0.7500  6 Zn 3.12, 6 Tl 3.14
Zn  0.9920  0.9920  0.9920  3 Ag 2.77
Zn  0.5080  0.5080  0.5080  3 Ag 2.77

Below is crystalline TlZn2Ag at its relaxed geometry, with properties calculated at the PBE level.

Computed properties:
ρ: 8.5 g cm⁻³
Symmetry: R3m (160)
E: -1.74 eV per atom

Lattice parameters (Å, degrees): 3.7062 3.7062 7.6143 75.91 75.91 60.00
With the nearest neighbours (Å) after each atom.
Positions (direct):
Tl  0.4996  0.4996  0.5011  6 Zn 2.96-2.98
Zn  0.0729  0.0729  0.7812  3 Ag 2.67, 3 Tl 2.96
Zn  0.2609  0.2609  0.2173  3 Ag 2.66, 3 Tl 2.98
Ag  0.6665  0.6665  0.0005  6 Zn 2.66-2.67

Below is crystalline TlZn4Ag8 at its relaxed geometry, with properties calculated at the PBE level.

Computed properties:
ρ: 9.4 g cm⁻³
Symmetry: I4/mmm (139)
E: -2.32 eV per atom

Lattice parameters (Å, degrees): 5.3391 7.1525 7.1525 81.99 68.08 68.08
With the nearest neighbours (Å) after each atom.
Positions (direct):
Tl  0.0000  0.0000  0.0000  12 Ag 3.27-3.37, 8 Zn 3.58
Zn  0.0000  0.0000  0.5000  2 Zn 2.67, 8 Ag 2.71-2.85
Zn  0.5000  0.0000  0.5000  2 Zn 2.67, 8 Ag 2.71-2.85
Zn  0.0000  0.5000  0.0000  2 Zn 2.67, 8 Ag 2.71-2.85
Zn  0.5000  0.5000  0.0000  2 Zn 2.67, 8 Ag 2.71-2.85
Ag  0.0000  0.3481  0.6519  5 Ag 2.85-2.99, 4 Zn 2.85
Ag  0.0000  0.6519  0.3481  5 Ag 2.85-2.99, 4 Zn 2.85
Ag  0.3481  0.6519  0.6519  5 Ag 2.85-2.99, 4 Zn 2.85
Ag  0.6519  0.3481  0.3481  5 Ag 2.85-2.99, 4 Zn 2.85
Ag  0.5000  0.7805  0.2195  4 Zn 2.71, 6 Ag 2.91-2.99
Ag  0.5000  0.2195  0.7805  4 Zn 2.71, 6 Ag 2.91-2.99
Ag  0.2805  0.2195  0.2195  4 Zn 2.71, 6 Ag 2.91-2.99
Ag  0.7195  0.7805  0.7805  4 Zn 2.71, 6 Ag 2.91-2.99